(1)
# V2ReIr, relaxed, DFT PBE-GGA
data_V2ReIr
_cell_length_a 3.1651
_cell_length_b 4.2143
_cell_length_c 4.2143
_cell_angle_alpha 90.00
_cell_angle_beta 90.00
_cell_angle_gamma 90.00
_space_group_name_H-M_alt 'P 1'
_space_group_IT_number 1
loop_
_space_group_symop_operation_xyz
'x,y,z'
loop_
_atom_site_label
_atom_site_type_symbol
_atom_site_fract_x
_atom_site_fract_y
_atom_site_fract_z
Ir1 Ir 0.5000 0.5000 0.5000
Re1 Re 0.5000 0.0000 0.0000
V1 V 0.0000 0.0000 0.5000
V2 V 0.0000 0.5000 0.0000
# D(E_F)   1.3545 states/eV per atom
# E_form   -0.309 eV per atom

(2)
# MnBi2Cl8, relaxed, DFT PBE-GGA
data_MnBi2Cl8
_cell_length_a 3.7572
_cell_length_b 9.6202
_cell_length_c 9.6765
_cell_angle_alpha 87.62
_cell_angle_beta 101.19
_cell_angle_gamma 90.00
_space_group_name_H-M_alt 'P 1'
_space_group_IT_number 1
loop_
_space_group_symop_operation_xyz
'x,y,z'
loop_
_atom_site_label
_atom_site_type_symbol
_atom_site_fract_x
_atom_site_fract_y
_atom_site_fract_z
Cl1 Cl 0.2412 0.3036 0.4824
Cl2 Cl 0.0010 0.1776 0.0020
Cl3 Cl 0.4030 0.4383 0.8059
Cl4 Cl 0.7588 0.6964 0.5176
Bi1 Bi 0.1514 0.7338 0.3028
Cl5 Cl 0.9990 0.8224 0.9980
Bi2 Bi 0.8486 0.2662 0.6972
Cl6 Cl 0.3653 0.0388 0.7307
Mn1 Mn 0.5000 0.0000 0.0000
Cl7 Cl 0.6347 0.9612 0.2693
Cl8 Cl 0.5970 0.5617 0.1941
# Energy relative to the elements, uncorrected   -0.9774 eV per atom
# D(E_F)   0.0000 states/eV per atom

(3)
# PrDy2HoEr4, relaxed, DFT PBE-GGA
data_PrDy2HoEr4
_cell_length_a 9.4637
_cell_length_b 9.4637
_cell_length_c 11.7147
_cell_angle_alpha 128.24
_cell_angle_beta 128.24
_cell_angle_gamma 88.75
_space_group_name_H-M_alt 'P 1'
_space_group_IT_number 1
loop_
_space_group_symop_operation_xyz
'x,y,z'
loop_
_atom_site_label
_atom_site_type_symbol
_atom_site_fract_x
_atom_site_fract_y
_atom_site_fract_z
Er1 Er 0.2474 0.7524 0.4997
Er2 Er 0.7526 0.2476 0.5003
Er3 Er 0.2501 0.2511 0.5035
Dy1 Dy 0.5000 0.0000 0.5000
Ho1 Ho 0.0000 0.5000 0.0000
Er4 Er 0.7510 0.7501 0.0035
Dy2 Dy 0.5000 0.5000 0.0000
Er5 Er 0.2490 0.2499 0.9965
Pr1 Pr 0.5000 0.5000 0.5000
Er6 Er 0.7499 0.7490 0.4965
Pr2 Pr 0.0000 0.0000 0.0000
Er7 Er 0.2524 0.7474 0.9997
Dy3 Dy 0.5000 0.0000 0.0000
Er8 Er 0.7476 0.2526 0.0003
Ho2 Ho 0.0000 0.5000 0.5000
Dy4 Dy 0.0000 0.0000 0.5000
# D(E_F)   2.2113 states/eV per atom
# E_form   0.440 eV per atom

(4)
# PrSmTlPb, relaxed, DFT PBE-GGA
data_PrSmTlPb
_cell_length_a 5.5397
_cell_length_b 5.5397
_cell_length_c 5.5397
_cell_angle_alpha 60.00
_cell_angle_beta 60.00
_cell_angle_gamma 60.00
_space_group_name_H-M_alt 'P 1'
_space_group_IT_number 1
loop_
_space_group_symop_operation_xyz
'x,y,z'
loop_
_atom_site_label
_atom_site_type_symbol
_atom_site_fract_x
_atom_site_fract_y
_atom_site_fract_z
Sm1 Sm 0.7500 0.7500 0.7500
Tl1 Tl 0.0000 0.0000 0.0000
Pr1 Pr 0.2500 0.2500 0.2500
Pb1 Pb 0.5000 0.5000 0.5000
# D(E_F)   0.5575 states/eV per atom
# E_form   -0.423 eV per atom

(5)
# K6H2Cl3, relaxed, DFT PBE-GGA
data_K6H2Cl3
_cell_length_a 4.3412
_cell_length_b 4.3412
_cell_length_c 22.0582
_cell_angle_alpha 84.35
_cell_angle_beta 84.35
_cell_angle_gamma 60.00
_space_group_name_H-M_alt 'P 1'
_space_group_IT_number 1
loop_
_space_group_symop_operation_xyz
'x,y,z'
loop_
_atom_site_label
_atom_site_type_symbol
_atom_site_fract_x
_atom_site_fract_y
_atom_site_fract_z
H1 H 0.4441 0.4441 0.6676
K1 K 0.3623 0.3623 0.9132
H2 H 0.5559 0.5559 0.3324
Cl1 Cl 0.7245 0.7245 0.8264
K2 K 0.9133 0.9133 0.2600
K3 K 0.0867 0.0867 0.7400
K4 K 0.8025 0.8025 0.5926
K5 K 0.6377 0.6377 0.0868
Cl2 Cl 0.2755 0.2755 0.1736
K6 K 0.1975 0.1975 0.4074
Cl3 Cl 0.0000 0.0000 0.0000
# D(E_F)   0.1251 states/eV per atom
# Total energy   -2.826 eV per atom

(6)
# TaZn2CoPd, relaxed, DFT PBE-GGA
data_TaZn2CoPd
_cell_length_a 4.5957
_cell_length_b 4.9054
_cell_length_c 4.5957
_cell_angle_alpha 90.00
_cell_angle_beta 90.00
_cell_angle_gamma 90.00
_space_group_name_H-M_alt 'P 1'
_space_group_IT_number 1
loop_
_space_group_symop_operation_xyz
'x,y,z'
loop_
_atom_site_label
_atom_site_type_symbol
_atom_site_fract_x
_atom_site_fract_y
_atom_site_fract_z
Ta1 Ta 0.0000 0.5000 0.0000
Pd1 Pd 0.0000 0.0000 0.0000
Co1 Co 0.5000 0.5000 0.5000
Zn1 Zn 0.5000 0.0000 0.0000
Zn2 Zn 0.0000 0.0000 0.5000
# D(E_F)   1.6634 states/eV per atom
# E_form   1.051 eV per atom